{"formula": "Li4Tb3PuS8", "functional": "GGA-PBE", "state": "relaxed", "e_form_raw_ev_per_fu": -28.1, "lattice_angstrom": [[3.944, 2.277, 6.168], [-3.944, 2.277, 6.168], [0.000, -4.554, 6.168]], "species": ["Li", "Li", "Li", "Li", "Tb", "Tb", "Tb", "Pu", "S", "S", "S", "S", "S", "S", "S", "S"], "fractional_positions": [[0.000, 0.000, 0.000], [0.000, 0.500, 0.500], [0.500, 0.000, 0.500], [0.500, 0.500, 0.000], [0.000, 0.000, 0.500], [0.000, 0.500, 0.000], [0.500, 0.000, 0.000], [0.500, 0.500, 0.500], [0.249, 0.249, 0.751], [0.249, 0.751, 0.249], [0.249, 0.751, 0.751], [0.251, 0.251, 0.251], [0.749, 0.749, 0.749], [0.751, 0.249, 0.249], [0.751, 0.249, 0.751], [0.751, 0.751, 0.249]]}